Record 1
Entry from the Alexandria database: crystalline RbTcBr2 at its relaxed geometry (PBE-GGA).

Summary:
The formation energy from raw total energies comes out at -9.71 kJ/mol of atoms. The calculation puts the density of states at the Fermi level at 1.9 states/eV/cell. Its final energy is -15.1 eV for the cell shown. Its polymorph energy (0 for the lowest one) is 0 meV/atom.

Cell lengths 9.184, 9.184, 9.184 Å; angles 31.09, 31.09, 31.09 degrees
Each line ends with the local moment (μB).
Element x y z (fractional)
Tc 0.000 0.000 0.000  3.36
Br 0.095 0.095 0.095  0.04
Rb 0.500 0.500 0.500  0.00
Br 0.905 0.905 0.905  0.04

***

Record 2
Entry from the Alexandria database: crystalline RbTc2Br at its relaxed geometry (PBE-GGA).

Summary:
The formation energy from raw total energies comes out at 103.62 kJ/mol of atoms. The calculation puts the density of states at the Fermi level at 9.1 states/eV/cell. Its final energy is -38.2 eV for the cell shown. Its polymorph energy (0 for the lowest one) is 0 meV/atom.

Cell lengths 4.842, 4.842, 9.764 Å; angles 75.64, 75.64, 90.00 degrees
Each line ends with the local moment (μB).
Element x y z (fractional)
Rb 0.750 0.250 0.500  0.00
Tc 0.875 0.625 0.750  0.14
Tc 0.375 0.125 0.250  0.18
Tc 0.375 0.625 0.250  0.18
Rb 0.000 0.000 0.000  0.00
Br 0.500 0.500 0.000  0.00
Tc 0.375 0.625 0.750  0.14
Br 0.250 0.750 0.500  0.00

***

Record 3
Entry from the Alexandria database: crystalline RbTc2Br8 at its relaxed geometry (PBE-GGA).

Summary:
The formation energy from raw total energies comes out at -49.10 kJ/mol of atoms. The calculation puts the density of states at the Fermi level at 1.3 states/eV/cell. Its final energy is -40.7 eV for the cell shown.

Cell lengths 5.547, 9.990, 8.439 Å; angles 112.76, 90.48, 74.01 degrees
Each line ends with the local moment (μB).
Element x y z (fractional)
Br 0.194 0.606 0.724  0.13
Br 0.793 0.411 0.852  0.03
Br 0.409 0.179 0.919  0.07
Br 0.591 0.821 0.081  0.07
Tc 0.699 0.607 0.185  2.63
Tc 0.301 0.393 0.815  2.63
Br 0.611 0.790 0.483  0.15
Br 0.207 0.589 0.148  0.03
Rb 0.000 0.000 0.000  0.00
Br 0.389 0.210 0.517  0.15
Br 0.806 0.394 0.276  0.13

***

Record 4
Entry from the Alexandria database: crystalline Rb2Tc2Br at its relaxed geometry (PBE-GGA).

Summary:
The formation energy from raw total energies comes out at 7.27 kJ/mol of atoms. The calculation puts the density of states at the Fermi level at 3.7 states/eV/cell. Its final energy is -24.0 eV for the cell shown. Its polymorph energy (0 for the lowest one) is 0 meV/atom.

Cell lengths 3.550, 3.550, 11.438 Å; angles 81.07, 81.07, 90.00 degrees
Element x y z (fractional)
Tc 0.750 0.250 0.500
Br 0.000 0.000 0.000
Rb 0.398 0.398 0.203
Tc 0.250 0.750 0.500
Rb 0.602 0.602 0.797

***

Record 5
Entry from the Alexandria database: crystalline Rb2TcTeBr6 at its relaxed geometry (PBE-GGA).

Summary:
The formation energy from raw total energies comes out at -70.39 kJ/mol of atoms. The calculation puts the density of states at the Fermi level at 3.8 states/eV/cell. Its final energy is -32.8 eV for the cell shown.

Cell lengths 8.290, 8.290, 8.019 Å; angles 58.87, 58.87, 90.00 degrees
Each line ends with the local moment (μB).
Element x y z (fractional)
Br 0.720 0.280 0.000  0.01
Br 0.740 0.740 0.521  0.02
Te 0.000 0.000 0.000  -0.25
Rb 0.750 0.250 0.500  0.00
Br 0.280 0.720 0.000  0.01
Rb 0.250 0.750 0.500  0.00
Br 0.260 0.260 0.479  0.02
Br 0.280 0.280 0.000  0.01
Tc 0.500 0.500 0.000  2.53
Br 0.720 0.720 0.000  0.01

***

Record 6
Entry from the Alexandria database: crystalline Rb2TlTcBr6 at its relaxed geometry (PBE-GGA).

Summary:
The formation energy from raw total energies comes out at -94.46 kJ/mol of atoms. The calculation puts the density of states at the Fermi level at 13.1 states/eV/cell. Its final energy is -69.0 eV for the cell shown. Its polymorph energy (0 for the lowest one) is 0 meV/atom.

Cell lengths 7.634, 7.634, 16.254 Å; angles 76.42, 76.42, 60.00 degrees
Each line ends with the local moment (μB).
Element x y z (fractional)
Br 0.283 0.811 0.096  0.02
Br 0.373 0.850 0.404  0.01
Rb 0.309 0.309 0.074  0.00
Tc 0.000 0.000 0.000  1.73
Br 0.811 0.283 0.096  0.02
Br 0.189 0.717 0.904  0.02
Tl 0.416 0.416 0.751  0.00
Br 0.627 0.150 0.596  0.01
Br 0.717 0.189 0.904  0.02
Br 0.373 0.373 0.404  0.01
Br 0.189 0.189 0.904  0.02
Br 0.627 0.627 0.596  0.01
Rb 0.691 0.691 0.926  0.00
Rb 0.860 0.860 0.421  0.00
Rb 0.140 0.140 0.579  0.00
Tc 0.500 0.500 0.500  1.51
Br 0.850 0.373 0.404  0.01
Tl 0.584 0.584 0.249  0.00
Br 0.811 0.811 0.096  0.02
Br 0.150 0.627 0.596  0.01

***

Record 7
Entry from the Alexandria database: crystalline Rb2TlTcBr6 at its relaxed geometry (PBE-GGA).

Summary:
The formation energy from raw total energies comes out at -92.49 kJ/mol of atoms. The calculation puts the density of states at the Fermi level at 8.0 states/eV/cell. Its final energy is -34.3 eV for the cell shown. Its polymorph energy (0 for the lowest one) is 20 meV/atom.

Cell lengths 8.056, 8.056, 8.056 Å; angles 60.00, 60.00, 90.00 degrees
Each line ends with the local moment (μB).
Element x y z (fractional)
Tc 0.500 0.500 0.000  1.62
Br 0.725 0.725 0.550  0.02
Tl 0.000 0.000 0.000  -0.01
Rb 0.750 0.250 0.500  0.00
Br 0.725 0.725 0.000  0.02
Br 0.275 0.725 0.000  0.02
Rb 0.250 0.750 0.500  0.00
Br 0.725 0.275 0.000  0.02
Br 0.275 0.275 0.450  0.02
Br 0.275 0.275 0.000  0.02

***

Record 8
Entry from the Alexandria database: crystalline Rb2TlTcBr8 at its relaxed geometry (PBE-GGA).

Summary:
The formation energy from raw total energies comes out at -82.07 kJ/mol of atoms. The calculation puts the density of states at the Fermi level at 1.9 states/eV/cell. Its final energy is -38.3 eV for the cell shown.

Cell lengths 7.726, 6.871, 8.970 Å; angles 89.94, 90.03, 91.94 degrees
Each line ends with the local moment (μB).
Element x y z (fractional)
Tl 0.000 0.000 0.500  -0.13
Br 0.322 0.215 0.495  -0.11
Br 0.102 0.773 0.797  0.01
Rb 0.503 0.489 0.763  0.00
Tc 0.000 0.000 0.000  2.10
Br 0.702 0.837 0.994  0.06
Br 0.093 0.768 0.203  0.01
Rb 0.497 0.511 0.237  0.00
Br 0.298 0.163 0.006  0.06
Br 0.678 0.785 0.505  -0.11
Br 0.898 0.227 0.203  0.01
Br 0.907 0.232 0.797  0.01

***

Record 9
Entry from the Alexandria database: crystalline RbTl2TcBr8 at its relaxed geometry (PBE-GGA).

Summary:
The formation energy from raw total energies comes out at -70.84 kJ/mol of atoms. The calculation puts the density of states at the Fermi level at 4.8 states/eV/cell. Its final energy is -38.3 eV for the cell shown.

Cell lengths 6.594, 8.059, 9.527 Å; angles 89.98, 90.01, 117.93 degrees
Each line ends with the local moment (μB).
Element x y z (fractional)
Br 0.428 0.196 0.000  0.01
Br 0.411 0.699 0.500  -0.07
Br 0.572 0.804 0.000  0.01
Rb 0.000 0.000 0.500  0.00
Br 0.029 0.787 0.814  0.02
Tl 0.500 0.500 0.746  -0.04
Br 0.589 0.301 0.500  -0.07
Br 0.972 0.213 0.814  0.02
Tl 0.500 0.500 0.254  -0.04
Br 0.028 0.787 0.186  0.02
Tc 0.000 0.000 0.000  1.91
Br 0.971 0.213 0.186  0.02

***

Record 10
Entry from the Alexandria database: crystalline Rb2VTcBr6 at its relaxed geometry (PBE-GGA).

Summary:
The formation energy from raw total energies comes out at -71.97 kJ/mol of atoms. The calculation puts the density of states at the Fermi level at 9.9 states/eV/cell. Its final energy is -38.9 eV for the cell shown.

Cell lengths 7.599, 7.599, 7.574 Å; angles 59.89, 59.89, 90.00 degrees
Each line ends with the local moment (μB).
Element x y z (fractional)
Br 0.742 0.258 0.000  0.04
Br 0.742 0.742 0.516  0.05
V 0.500 0.500 0.000  -0.22
Tc 0.000 0.000 0.000  3.46
Br 0.258 0.258 0.000  0.04
Rb 0.250 0.750 0.500  0.00
Br 0.742 0.742 0.000  0.04
Br 0.258 0.742 0.000  0.04
Rb 0.750 0.250 0.500  0.00
Br 0.258 0.258 0.484  0.05

***

Record 11
Entry from the Alexandria database: crystalline RbTc2WBr at its relaxed geometry (PBE-GGA).

Summary:
The formation energy from raw total energies comes out at 205.21 kJ/mol of atoms. The calculation puts the density of states at the Fermi level at 5.2 states/eV/cell. Its final energy is -25.7 eV for the cell shown.

Cell lengths 4.812, 4.796, 4.812 Å; angles 90.00, 90.00, 90.00 degrees
Each line ends with the local moment (μB).
Element x y z (fractional)
Tc 0.000 0.000 0.500  1.12
Tc 0.500 0.000 0.000  1.23
W 0.000 0.500 0.000  -0.89
Br 0.000 0.000 0.000  0.00
Rb 0.500 0.500 0.500  -0.01

***

Record 12
Entry from the Alexandria database: crystalline Rb2TcWBr6 at its relaxed geometry (PBE-GGA).

Summary:
The formation energy from raw total energies comes out at -49.49 kJ/mol of atoms. The calculation puts the density of states at the Fermi level at 4.5 states/eV/cell. Its final energy is -40.4 eV for the cell shown.

Cell lengths 7.640, 7.640, 7.643 Å; angles 60.02, 60.02, 90.00 degrees
Each line ends with the local moment (μB).
Element x y z (fractional)
Br 0.756 0.756 0.000  0.06
W 0.000 0.000 0.000  2.27
Br 0.244 0.244 0.000  0.06
Br 0.756 0.244 0.000  0.06
Br 0.756 0.756 0.488  0.06
Tc 0.500 0.500 0.000  3.25
Rb 0.250 0.750 0.500  0.00
Br 0.244 0.244 0.512  0.06
Br 0.244 0.756 0.000  0.06
Rb 0.750 0.250 0.500  0.00

***

Record 13
Entry from the Alexandria database: crystalline Rb2YTcBr6 at its relaxed geometry (PBE-GGA).

Summary:
The formation energy from raw total energies comes out at -111.15 kJ/mol of atoms. The calculation puts the density of states at the Fermi level at 0.0 states/eV/cell. Its final energy is -40.3 eV for the cell shown.

Cell lengths 7.648, 7.648, 7.648 Å; angles 60.00, 60.00, 90.00 degrees
Element x y z (fractional)
Br 0.758 0.758 0.000
Br 0.242 0.242 0.517
Y 0.500 0.500 0.000
Br 0.758 0.758 0.483
Rb 0.250 0.750 0.500
Rb 0.750 0.250 0.500
Br 0.758 0.242 0.000
Tc 0.000 0.000 0.000
Br 0.242 0.242 0.000
Br 0.242 0.758 0.000

***

Record 14
Entry from the Alexandria database: crystalline RbZnTc2Br at its relaxed geometry (PBE-GGA).

Summary:
The formation energy from raw total energies comes out at 239.87 kJ/mol of atoms. The calculation puts the density of states at the Fermi level at 4.3 states/eV/cell. Its final energy is -12.2 eV for the cell shown.

Cell lengths 5.633, 5.633, 6.033 Å; angles 90.00, 90.00, 90.00 degrees
Each line ends with the local moment (μB).
Element x y z (fractional)
Tc 0.000 0.500 0.000  3.21
Br 0.500 0.500 0.500  0.07
Rb 0.000 0.000 0.000  0.03
Zn 0.000 0.000 0.500  0.03
Tc 0.500 0.000 0.000  3.21

***

Record 15
Entry from the Alexandria database: crystalline RbTe2Br8 at its relaxed geometry (PBE-GGA).

Summary:
The formation energy from raw total energies comes out at -47.13 kJ/mol of atoms. The calculation puts the density of states at the Fermi level at 3.1 states/eV/cell. Its final energy is -26.0 eV for the cell shown. Its polymorph energy (0 for the lowest one) is 17 meV/atom.

Cell lengths 5.773, 10.061, 10.064 Å; angles 120.00, 90.01, 90.01 degrees
Element x y z (fractional)
Br 0.283 0.180 0.364
Br 0.717 0.363 0.184
Br 0.777 0.333 0.667
Te 0.273 0.333 0.667
Te 0.727 0.667 0.333
Br 0.283 0.183 0.820
Br 0.717 0.820 0.636
Br 0.283 0.637 0.816
Rb 0.000 0.000 0.000
Br 0.223 0.667 0.333
Br 0.717 0.817 0.180

***

Record 16
Entry from the Alexandria database: crystalline RbTe3Br at its relaxed geometry (PBE-GGA).

Summary:
The formation energy from raw total energies comes out at 80.77 kJ/mol of atoms. The calculation puts the density of states at the Fermi level at 18.6 states/eV/cell. Its final energy is -7.9 eV for the cell shown. Its polymorph energy (0 for the lowest one) is 732 meV/atom.

Cell lengths 6.995, 6.995, 6.995 Å; angles 90.00, 90.00, 90.00 degrees
Each line ends with the local moment (μB).
Element x y z (fractional)
Te 0.500 0.000 0.000  0.86
Rb 0.000 0.000 0.000  0.00
Te 0.000 0.000 0.500  0.98
Br 0.500 0.500 0.500  0.39
Te 0.000 0.500 0.000  0.88

***

Record 17
Entry from the Alexandria database: crystalline Rb2Te2Br at its relaxed geometry (PBE-GGA).

Summary:
The formation energy from raw total energies comes out at -78.33 kJ/mol of atoms. The calculation puts the density of states at the Fermi level at 8.5 states/eV/cell. Its final energy is -27.9 eV for the cell shown. Its polymorph energy (0 for the lowest one) is 219 meV/atom.

Cell lengths 9.186, 9.186, 5.153 Å; angles 90.00, 90.00, 90.00 degrees
Element x y z (fractional)
Rb 0.190 0.690 0.500
Te 0.604 0.104 0.000
Br 0.000 0.000 0.000
Te 0.396 0.896 0.000
Rb 0.690 0.810 0.500
Rb 0.310 0.190 0.500
Rb 0.810 0.310 0.500
Te 0.896 0.604 0.000
Br 0.500 0.500 0.000
Te 0.104 0.396 0.000

***

Record 18
Entry from the Alexandria database: crystalline RbTeBr2 at its relaxed geometry (PBE-GGA).

Summary:
The formation energy from raw total energies comes out at -9.93 kJ/mol of atoms. The calculation puts the density of states at the Fermi level at 2.7 states/eV/cell. Its final energy is -7.9 eV for the cell shown. Its polymorph energy (0 for the lowest one) is 630 meV/atom.

Cell lengths 11.352, 11.352, 11.352 Å; angles 19.73, 19.73, 19.73 degrees
Each line ends with the local moment (μB).
Element x y z (fractional)
Rb 0.000 0.000 0.000  0.00
Br 0.093 0.093 0.093  0.01
Te 0.500 0.500 0.500  0.07
Br 0.907 0.907 0.907  0.01

***

Record 19
Entry from the Alexandria database: crystalline RbTe2Br at its relaxed geometry (PBE-GGA).

Summary:
The formation energy from raw total energies comes out at -61.84 kJ/mol of atoms. The calculation puts the density of states at the Fermi level at 3.0 states/eV/cell. Its final energy is -23.0 eV for the cell shown. Its polymorph energy (0 for the lowest one) is 0 meV/atom.

Cell lengths 4.597, 4.597, 18.258 Å; angles 82.77, 82.77, 90.00 degrees
Element x y z (fractional)
Br 0.500 0.500 0.000
Rb 0.000 0.000 0.000
Te 0.191 0.125 0.250
Te 0.559 0.625 0.250
Te 0.875 0.441 0.750
Te 0.375 0.809 0.750
Br 0.250 0.750 0.500
Rb 0.750 0.250 0.500

***

Record 20
Entry from the Alexandria database: crystalline Rb2Te2Br at its relaxed geometry (PBE-GGA).

Summary:
The formation energy from raw total energies comes out at -99.48 kJ/mol of atoms. The calculation puts the density of states at the Fermi level at 0.9 states/eV/cell. Its final energy is -15.0 eV for the cell shown. Its polymorph energy (0 for the lowest one) is 0 meV/atom.

Cell lengths 4.475, 4.475, 10.419 Å; angles 77.60, 77.60, 90.00 degrees
Element x y z (fractional)
Br 0.000 0.000 0.000
Rb 0.401 0.401 0.197
Rb 0.599 0.599 0.803
Te 0.750 0.250 0.500
Te 0.250 0.750 0.500

***

Per-record volume, Å³/f.u.: 183.2; 107.2; 412.0; 140.6; 376.0; 394.8; 369.7; 475.9; 447.3; 308.2; 111.1; 315.6; 316.3; 191.4; 506.2; 342.3; 217.4; 145.8; 189.9; 198.8